# 1
An optimized crystal structure of Cs2NbCuSe4. Source: the Alexandria database, functional PBE-GGA.

Geometry as POSCAR:
```
Cs2NbCuSe4
1.0
0.0000 7.4826 13.0684
2.9157 0.0000 13.0684
2.9157 7.4826 0.0000
Cs Nb Cu Se
4 2 2 8
direct
0.0527 0.0527 0.6973
0.3027 0.3027 0.9473
0.6973 0.6973 0.0527
0.9473 0.9473 0.3027
0.1250 0.1250 0.1250
0.8750 0.8750 0.8750
0.3750 0.3750 0.3750
0.6250 0.6250 0.6250
0.0261 0.3303 0.4105
0.2670 0.5895 0.6697
0.3303 0.0261 0.7330
0.4105 0.7330 0.0261
0.5895 0.2670 0.9739
0.6697 0.9739 0.2670
0.7330 0.4105 0.3303
0.9739 0.6697 0.5895
```

Output
raw formation energy = -1.01 eV per atom
E = -4.73 eV per atom
symmetry = Fddd, No. 70
excess energy over the best structure of this formula in the dataset = 0 meV per atom



# 2
An optimized crystal structure of Cs2NbCuSe4. Source: the Alexandria database, functional PBE-GGA.

Geometry as POSCAR:
```
Cs2NbCuSe4
1.0
0.0000 7.5234 12.9870
2.9067 0.0000 12.9870
2.9067 7.5234 0.0000
Cs Nb Cu Se
4 2 2 8
direct
0.0525 0.0525 0.6975
0.3025 0.3025 0.9475
0.6975 0.6975 0.0525
0.9475 0.9475 0.3025
0.3750 0.3750 0.3750
0.6250 0.6250 0.6250
0.1250 0.1250 0.1250
0.8750 0.8750 0.8750
0.0180 0.3381 0.4198
0.2759 0.5802 0.6619
0.3381 0.0180 0.7241
0.4198 0.7241 0.0180
0.5802 0.2759 0.9820
0.6619 0.9820 0.2759
0.7241 0.4198 0.3381
0.9820 0.6619 0.5802
```

Output
raw formation energy = -1.00 eV per atom
E = -4.72 eV per atom
symmetry = Fddd, No. 70
excess energy over the best structure of this formula in the dataset = 7 meV per atom



# 3
An optimized crystal structure of CsTiNb2Cu. Source: the Alexandria database, functional PBE-GGA.

Geometry as POSCAR:
```
CsTiNb2Cu
1.0
5.0823 0.0000 0.0000
0.0000 5.0823 0.0000
0.0000 0.0000 4.7728
Cs Ti Nb Cu
1 1 2 1
direct
0.0000 0.0000 0.0000
0.5000 0.5000 0.5000
0.0000 0.5000 0.0000
0.5000 0.0000 0.0000
0.0000 0.0000 0.5000
```

Output
formation energy from the elements = 2.624 eV/atom
E = -3.97 eV per atom
DOS at the Fermi energy = 8.45 states/eV per cell
symmetry = P4/mmm, No. 123